1.
KAs3N after structural relaxation. Source: Alexandria via LeMat-Bulk, functional PBE.

Summary:
total moment: 0.9312 μB/atom
excess energy over the best structure of this formula in the dataset: 1858.0 meV per atom
V: 187.7 Å³/cell
formation energy (no corrections): 245.1 kJ/mol of atoms
mass density: 2459 kg/m3

abc: 5.725 5.725 5.725
angles: 90.00 90.00 90.00
Space group Pm-3m (No. 221)
One atom of each set of equivalent atoms:
1 K 0.000 0.000 0.000 [1 per cell]
2 As 0.000 0.000 0.500 [3 per cell]
3 N 0.500 0.500 0.500 [1 per cell]

---

2.
KAsN after structural relaxation. Source: Alexandria via LeMat-Bulk, functional PBE.

Summary:
total moment: 0.0000 μB/atom
excess energy over the best structure of this formula in the dataset: 181.1 meV per atom
V: 243.5 Å³/cell
formation energy (no corrections): -1.9 kJ/mol of atoms
mass density: 3492 kg/m3

abc: 2.975 7.589 10.785
angles: 90.00 90.00 90.00
Space group Imm2 (No. 44)
One atom of each set of equivalent atoms:
1 K 0.000 0.000 0.000 [2 per cell]
2 K 0.000 0.500 0.067 [2 per cell]
3 As 0.000 0.320 0.787 [4 per cell]
4 N 0.000 0.217 0.395 [4 per cell]